Material: UPa2As
Method: DFT, PBE
State: relaxed

```
UPa2As
1.0
3.4685 0.0000 0.0000
-1.7342 3.0038 0.0000
0.0000 0.0000 27.8735
U Pa As
3 6 3
direct
0.0000 0.0000 0.0000 U
0.3333 0.6667 0.6667 U
0.6667 0.3333 0.3333 U
0.0000 0.0000 0.2405 Pa
0.0000 0.0000 0.7595 Pa
0.3333 0.6667 0.4262 Pa
0.3333 0.6667 0.9072 Pa
0.6667 0.3333 0.0928 Pa
0.6667 0.3333 0.5738 Pa
0.0000 0.0000 0.5000 As
0.3333 0.6667 0.1667 As
0.6667 0.3333 0.8333 As
```

Summary:
Relative energy among the computed polymorphs, eV/f.u.: 1.54
Spin magnetization, μB/f.u.: 1.91
Formation energy from the elements, eV per atom: -0.03
Symmetry: R-3m (166)
V, Å³ per atom: 24.2


Material: Sc5Ir4
Method: DFT, PBE
State: relaxed

```
Sc5Ir4
1.0
-4.2513 4.2513 2.2104
4.2513 -4.2513 2.2104
4.2513 4.2513 -2.2104
Sc Ir
5 4
direct
0.0000 0.0000 0.0000 Sc
0.3207 0.3207 0.6414 Sc
0.3207 0.6793 0.0000 Sc
0.6793 0.3207 0.0000 Sc
0.6793 0.6793 0.3586 Sc
0.0000 0.3434 0.3434 Ir
0.0000 0.6566 0.6566 Ir
0.3434 0.0000 0.3434 Ir
0.6566 0.0000 0.6566 Ir
```

Summary:
Relative energy among the computed polymorphs, eV/f.u.: 1.80
Spin magnetization, μB/f.u.: 0.00
Formation energy from the elements, eV per atom: -0.56
Symmetry: I4/mmm (139)
V, Å³ per atom: 17.8


Material: Ba2HfTlCd
Method: DFT, PBE
State: relaxed

```
Ba2HfTlCd
1.0
6.6397 0.0000 0.0000
0.0000 6.6397 0.0000
0.0000 0.0000 5.4708
Ba Hf Tl Cd
2 1 1 1
direct
0.0000 0.5000 0.0000 Ba
0.5000 0.0000 0.0000 Ba
0.0000 0.0000 0.5000 Hf
0.0000 0.0000 0.0000 Tl
0.5000 0.5000 0.5000 Cd
```

Summary:
Spin magnetization, μB/f.u.: 1.25
Formation energy from the elements, eV per atom: 0.55
Symmetry: P4/mmm (123)
V, Å³ per atom: 48.2


Material: ScCr2Hg
Method: DFT, PBE
State: relaxed

```
ScCr2Hg
1.0
3.6392 0.0000 0.0000
0.0000 4.1201 0.0000
0.0000 0.0000 8.7995
Sc Cr Hg
2 4 2
direct
0.0000 0.0000 0.0000 Sc
0.5000 0.5000 0.0000 Sc
0.0000 0.5000 0.2516 Cr
0.0000 0.5000 0.7484 Cr
0.5000 0.0000 0.2516 Cr
0.5000 0.0000 0.7484 Cr
0.0000 0.0000 0.5000 Hg
0.5000 0.5000 0.5000 Hg
```

Summary:
Spin magnetization, μB/f.u.: 0.00
Formation energy from the elements, eV per atom: 0.67
Symmetry: Cmmm (65)
V, Å³ per atom: 16.5


Material: Cd3BiSb
Method: DFT, PBE
State: relaxed

```
Cd3BiSb
1.0
5.5612 0.0000 0.0000
0.0000 5.5612 0.0000
0.0000 0.0000 5.5612
Cd Bi Sb
3 1 1
direct
0.0000 0.0000 0.5000 Cd
0.0000 0.5000 0.0000 Cd
0.5000 0.0000 0.0000 Cd
0.5000 0.5000 0.5000 Bi
0.0000 0.0000 0.0000 Sb
```

Summary:
Relative energy among the computed polymorphs, eV/f.u.: 1.84
Spin magnetization, μB/f.u.: 0.88
Symmetry: Pm-3m (221)
V, Å³ per atom: 34.4


Material: TcHgOs2
Method: DFT, PBE
State: relaxed

```
TcHgOs2
1.0
4.6904 0.0000 0.0000
0.0000 4.6904 0.0000
0.0000 0.0000 2.9136
Tc Hg Os
1 1 2
direct
0.0000 0.0000 0.0000 Tc
0.5000 0.5000 0.0000 Hg
0.0000 0.5000 0.5000 Os
0.5000 0.0000 0.5000 Os
```

Summary:
Spin magnetization, μB/f.u.: 0.74
Formation energy from the elements, eV per atom: 1.02
Symmetry: P4/mmm (123)
V, Å³ per atom: 16.0